CoTcHg, optimized geometry, DFT GGA-PBE; M_tot = 0.0 μB per cell; crystal system = hexagonal; calculated formation energy = 0.66 eV per atom
1.0
-3.2187 1.2733 -2.6630
-0.2968 -3.8069 2.1196
-1.2518 1.2810 2.1255
Co Hg Tc
1 1 1
Cartesian
-1.0438 1.0682 1.7723
-2.6617 0.0066 -0.3609
-2.3136 -1.0462 2.2962